First-principles (GGA-PBE) data for MnZnCrBi2 after structural relaxation, as listed in Alexandria.

Lattice parameters (Å, degrees): 5.3698 4.7842 5.3698 90.00 90.00 90.00
Site moments in Bohr magnetons follow the coordinates.
Fractional coordinates of all 5 atoms:
Cr 0.0000 0.5000 0.0000  3.85
Zn 0.0000 0.0000 0.0000  0.04
Mn 0.5000 0.5000 0.5000  4.28
Bi 0.0000 0.0000 0.5000  -0.18
Bi 0.5000 0.0000 0.0000  -0.21

Values from the calculation:
The density is 7.11 g cm⁻³. As for the formation enthalpy at 0 K: 0.973 eV/atom. The size of the total moment comes out at 1.7299 μB per atom. The value obtained for the density of states at the Fermi level is 3.4 states/eV/f.u. Its volume is 27.59 A^3/atom. The total energy is -4.5923 eV/atom.

=====

First-principles (GGA-PBE) data for Cr2Bi2Mo after structural relaxation, as listed in Alexandria.

Lattice parameters (Å, degrees): 5.0285 5.0285 5.3004 61.68 61.68 90.00
Fractional coordinates of all 5 atoms:
Cr 0.3822 0.3822 0.2357
Cr 0.6178 0.6178 0.7643
Mo 0.0000 0.0000 0.0000
Bi 0.7500 0.2500 0.5000
Bi 0.2500 0.7500 0.5000

Values from the calculation:
The density is 10.32 g cm⁻³. As for the formation enthalpy at 0 K: 1.105 eV/atom. The size of the total moment comes out at 0.0006 μB per atom. Its relative energy among the computed polymorphs is 302 meV/atom. The value obtained for the density of states at the Fermi level is 7.7 states/eV/f.u. Its volume is 19.88 A^3/atom. The total energy is -6.4634 eV/atom.

=====

First-principles (GGA-PBE) data for Cr2BiMo after structural relaxation, as listed in Alexandria.

Lattice parameters (Å, degrees): 4.1188 4.1188 9.1325 76.97 76.97 90.00
Fractional coordinates of all 8 atoms:
Cr 0.5349 0.1250 0.2500
Cr 0.2151 0.6250 0.2500
Cr 0.3750 0.4651 0.7500
Cr 0.8750 0.7849 0.7500
Mo 0.5000 0.5000 0.0000
Mo 0.2500 0.7500 0.5000
Bi 0.0000 0.0000 0.0000
Bi 0.7500 0.2500 0.5000

Values from the calculation:
The density is 9.25 g cm⁻³. As for the formation enthalpy at 0 K: 1.145 eV/atom. The size of the total moment comes out at 0.0000 μB per atom. The value obtained for the density of states at the Fermi level is 6.6 states/eV/f.u. Its volume is 18.35 A^3/atom. The total energy is -7.3451 eV/atom.

=====

First-principles (GGA-PBE) data for CrBi2Mo after structural relaxation, as listed in Alexandria.

Lattice parameters (Å, degrees): 4.9241 4.9241 4.9241 60.00 60.00 60.00
Site moments in Bohr magnetons follow the coordinates.
Fractional coordinates of all 4 atoms:
Cr 0.0000 0.0000 0.0000  3.40
Mo 0.5000 0.5000 0.5000  -0.65
Bi 0.2500 0.2500 0.2500  -0.07
Bi 0.7500 0.7500 0.7500  -0.07

Values from the calculation:
The density is 11.13 g cm⁻³. As for the formation enthalpy at 0 K: 0.626 eV/atom. The size of the total moment comes out at 0.6940 μB per atom. Its relative energy among the computed polymorphs is 0 meV/atom. The value obtained for the density of states at the Fermi level is 2.1 states/eV/f.u. Its volume is 21.11 A^3/atom. The total energy is -6.4283 eV/atom.

=====

First-principles (GGA-PBE) data for Cr2Bi2Mo after structural relaxation, as listed in Alexandria.

Lattice parameters (Å, degrees): 6.7844 6.7844 4.5649 90.00 90.00 90.00
Site moments in Bohr magnetons follow the coordinates.
Fractional coordinates of all 10 atoms:
Cr 0.3529 0.8529 0.0000  2.96
Cr 0.8529 0.6471 0.0000  2.92
Cr 0.6471 0.1471 0.0000  2.96
Cr 0.1471 0.3529 0.0000  2.92
Mo 0.0000 0.0000 0.0000  -1.63
Mo 0.5000 0.5000 0.0000  -1.64
Bi 0.1757 0.6757 0.5000  -0.04
Bi 0.6757 0.8243 0.5000  -0.05
Bi 0.8243 0.3243 0.5000  -0.04
Bi 0.3243 0.1757 0.5000  -0.05

Values from the calculation:
The density is 9.77 g cm⁻³. As for the formation enthalpy at 0 K: 0.803 eV/atom. The size of the total moment comes out at 0.8807 μB per atom. Its relative energy among the computed polymorphs is 0 meV/atom. The value obtained for the density of states at the Fermi level is 4.4 states/eV/f.u. Its volume is 21.01 A^3/atom. The total energy is -6.7650 eV/atom.

=====

First-principles (GGA-PBE) data for CrBiMo2 after structural relaxation, as listed in Alexandria.

Lattice parameters (Å, degrees): 3.9138 3.9138 10.4195 79.17 79.17 90.00
Site moments in Bohr magnetons follow the coordinates.
Fractional coordinates of all 8 atoms:
Cr 0.5000 0.5000 0.0000  3.05
Cr 0.2500 0.7500 0.5000  3.04
Mo 0.5873 0.1250 0.2500  0.03
Mo 0.1627 0.6250 0.2500  0.03
Mo 0.3750 0.4127 0.7500  0.02
Mo 0.8750 0.8373 0.7500  0.01
Bi 0.0000 0.0000 0.0000  -0.04
Bi 0.7500 0.2500 0.5000  -0.04

Values from the calculation:
The density is 9.77 g cm⁻³. As for the formation enthalpy at 0 K: 0.931 eV/atom. The size of the total moment comes out at 0.8228 μB per atom. The value obtained for the density of states at the Fermi level is 4.4 states/eV/f.u. Its volume is 19.23 A^3/atom. The total energy is -7.8602 eV/atom.

=====

First-principles (GGA-PBE) data for CrBiMo3 after structural relaxation, as listed in Alexandria.

Lattice parameters (Å, degrees): 4.5918 4.5918 4.5918 90.00 90.00 90.00
Site moments in Bohr magnetons follow the coordinates.
Fractional coordinates of all 5 atoms:
Cr 0.0000 0.0000 0.0000  -0.14
Mo 0.0000 0.5000 0.0000  0.34
Mo 0.0000 0.0000 0.5000  0.48
Mo 0.5000 0.0000 0.0000  0.42
Bi 0.5000 0.5000 0.5000  -0.01

Values from the calculation:
The density is 9.41 g cm⁻³. As for the formation enthalpy at 0 K: 1.146 eV/atom. The size of the total moment comes out at 0.2584 μB per atom. Its relative energy among the computed polymorphs is 0 meV/atom. The value obtained for the density of states at the Fermi level is 5.7 states/eV/f.u. Its volume is 19.36 A^3/atom. The total energy is -8.0538 eV/atom.

=====

First-principles (GGA-PBE) data for CrBi2Mo after structural relaxation, as listed in Alexandria.

Lattice parameters (Å, degrees): 7.7737 7.7737 6.3750 52.43 52.43 90.00
Site moments in Bohr magnetons follow the coordinates.
Fractional coordinates of all 8 atoms:
Cr 0.5000 0.5000 0.0000  3.58
Cr 0.2500 0.7500 0.5000  3.58
Mo 0.0000 0.0000 0.0000  1.96
Mo 0.7500 0.2500 0.5000  1.97
Bi 0.6244 0.1250 0.2500  -0.13
Bi 0.1256 0.6250 0.2500  -0.14
Bi 0.3750 0.3756 0.7500  -0.13
Bi 0.8750 0.8744 0.7500  -0.13

Values from the calculation:
The density is 9.63 g cm⁻³. As for the formation enthalpy at 0 K: 0.957 eV/atom. The size of the total moment comes out at 1.4929 μB per atom. Its relative energy among the computed polymorphs is 331 meV/atom. The value obtained for the density of states at the Fermi level is 1.8 states/eV/f.u. Its volume is 24.39 A^3/atom. The total energy is -6.0971 eV/atom.

=====

First-principles (GGA-PBE) data for CrBi3Mo after structural relaxation, as listed in Alexandria.

Lattice parameters (Å, degrees): 5.3997 5.3997 5.3997 90.00 90.00 90.00
Site moments in Bohr magnetons follow the coordinates.
Fractional coordinates of all 5 atoms:
Cr 0.5000 0.5000 0.5000  4.22
Mo 0.0000 0.0000 0.0000  0.58
Bi 0.0000 0.5000 0.0000  -0.10
Bi 0.0000 0.0000 0.5000  -0.12
Bi 0.5000 0.0000 0.0000  -0.09

Values from the calculation:
The density is 8.17 g cm⁻³. As for the formation enthalpy at 0 K: 0.955 eV/atom. The size of the total moment comes out at 1.0588 μB per atom. Its relative energy among the computed polymorphs is 0 meV/atom. The value obtained for the density of states at the Fermi level is 5.3 states/eV/f.u. Its volume is 31.49 A^3/atom. The total energy is -5.4649 eV/atom.

=====

First-principles (GGA-PBE) data for NbCrBi2Mo after structural relaxation, as listed in Alexandria.

Lattice parameters (Å, degrees): 5.1813 4.4397 5.1813 90.00 90.00 90.00
Site moments in Bohr magnetons follow the coordinates.
Fractional coordinates of all 5 atoms:
Cr 0.0000 0.0000 0.0000  1.62
Mo 0.0000 0.5000 0.0000  -1.40
Bi 0.0000 0.0000 0.5000  -0.03
Bi 0.5000 0.0000 0.0000  -0.07
Nb 0.5000 0.5000 0.5000  1.82

Values from the calculation:
The density is 9.18 g cm⁻³. As for the formation enthalpy at 0 K: 1.273 eV/atom. The size of the total moment comes out at 0.4395 μB per atom. The value obtained for the density of states at the Fermi level is 7.2 states/eV/f.u. Its volume is 23.84 A^3/atom. The total energy is -6.3838 eV/atom.

=====

First-principles (GGA-PBE) data for Cr2BiMoOsRh after structural relaxation, as listed in Alexandria.

Lattice parameters (Å, degrees): 4.5144 3.0315 14.1456 90.00 102.66 90.00
Fractional coordinates of all 12 atoms:
Rh 0.0074 0.0000 0.7271
Rh 0.0074 0.5000 0.2271
Mo 0.0147 0.0000 0.4118
Mo 0.0147 0.5000 0.9118
Os 0.1395 0.0000 0.0666
Os 0.1395 0.5000 0.5666
Bi 0.5187 0.0000 0.2524
Bi 0.5187 0.5000 0.7524
Cr 0.6198 0.0000 0.5581
Cr 0.6198 0.5000 0.0581
Cr 0.5397 0.0000 0.9400
Cr 0.5397 0.5000 0.4400

Values from the calculation:
The density is 12.34 g cm⁻³. As for the formation enthalpy at 0 K: 0.324 eV/atom. The size of the total moment comes out at 0.0002 μB per atom. Its relative energy among the computed polymorphs is 48 meV/atom. The value obtained for the density of states at the Fermi level is 4.4 states/eV/f.u. Its volume is 15.74 A^3/atom. The total energy is -8.4330 eV/atom.

=====

First-principles (GGA-PBE) data for Cr2BiMoOsRh after structural relaxation, as listed in Alexandria.

Lattice parameters (Å, degrees): 2.9535 4.0674 8.7280 76.82 89.06 89.98
Fractional coordinates of all 6 atoms:
Rh 0.1858 0.3554 0.5968
Mo 0.6723 0.2296 0.8556
Os 0.1704 0.0940 0.1334
Bi 0.6830 0.9346 0.4349
Cr 0.5986 0.6290 0.0605
Cr 0.1681 0.7414 0.8308

Values from the calculation:
The density is 11.42 g cm⁻³. As for the formation enthalpy at 0 K: 0.408 eV/atom. The size of the total moment comes out at 0.0000 μB per atom. Its relative energy among the computed polymorphs is 133 meV/atom. The value obtained for the density of states at the Fermi level is 6.1 states/eV/f.u. Its volume is 17.01 A^3/atom. The total energy is -8.3486 eV/atom.